Record 1
Density functional theory data (GGA-PBE) for Tc3PbO12 after structural relaxation.

Cell lengths 9.1824, 9.1824, 30.6674 Å; angles 90.00, 90.00, 120.00 degrees
Closest atoms and distances in Å follow each position.
Space group R3c (No. 161, hexagonal axes)
One atom of each set of equivalent atoms:
1 Tc 0.0041 0.3088 0.0000 (multiplicity 18)  4 O 1.71-1.78
2 Pb 0.0000 0.0000 0.4121 (multiplicity 6)  6 O 2.32-2.34
3 O 0.0708 0.2406 0.9536 (multiplicity 18)  1 Tc 1.78
4 O 0.1759 0.4201 0.3165 (multiplicity 18)  1 Tc 1.71
5 O 0.1804 0.4365 0.0335 (multiplicity 18)  1 Tc 1.77
6 O 0.1927 0.3885 0.1955 (multiplicity 18)  1 Tc 1.71

Values from the calculation:
* E: -0.5248 Ry/atom
* density of states at the Fermi level: 39.48 states/eV per cell
* total magnetic moment: 0.000 μB per atom



Record 2
Density functional theory data (GGA-PBE) for ScCrAu2 after structural relaxation.

Cell lengths 3.6018, 3.6018, 5.7438 Å; angles 90.00, 90.00, 90.00 degrees
Closest atoms and distances in Å follow each position.
Space group P4mm (No. 99)
One atom of each set of equivalent atoms:
1 Sc 0.0000 0.0000 0.0000 (multiplicity 1)  6 Au 2.81-2.93, 4 Cr 3.07
2 Cr 0.5000 0.5000 0.7024 (multiplicity 1)  6 Au 2.77-2.94, 4 Sc 3.07
3 Au 0.0000 0.0000 0.5106 (multiplicity 1)  4 Cr 2.77, 2 Sc 2.81-2.93, 4 Au 3.06
4 Au 0.5000 0.5000 0.2143 (multiplicity 1)  2 Cr 2.80-2.94, 4 Sc 2.83, 4 Au 3.06

Values from the calculation:
* E: -0.4319 Ry/atom
* density of states at the Fermi level: 1.35 states/eV per cell
* ΔE_f: -249 meV per atom
* total magnetic moment: 0.975 μB per atom